## SiNi2Ru (GGA-PBE)

Data for a geometry-optimized SiNi2Ru structure.

The structure belongs to space group P4mm (No. 99); the cell edges are 2.8879, 2.8879 and 5.6670 Å and the angles 90.00°, 90.00° and 90.00°. Symmetry generates all atoms from Si at (0.0000, 0.0000, 0.0000), Ni at (0.0000, 0.0000, 0.4660), Ni at (0.5000, 0.5000, 0.2160) and Ru at (0.5000, 0.5000, 0.7454).

The calculation puts the uncorrected formation energy at -0.98 eV per formula unit. The value obtained for the energy is -6.8099 eV per atom.

=====

## Na2TcPdO4 (GGA-PBE)

Data for a geometry-optimized Na2TcPdO4 structure.

The structure belongs to space group I-4 (No. 82); the cell edges are 5.9772, 5.9772 and 6.3979 Å and the angles 90.00°, 90.00° and 90.00°. Symmetry generates all atoms from Na at (0.0000, 0.0000, 0.0000), Na at (0.0000, 0.5000, 0.2500), Tc at (0.0000, 0.0000, 0.5000), Pd at (0.0000, 0.5000, 0.7500) and O at (0.1650, 0.1795, 0.6798).

The calculation puts the uncorrected formation energy at -9.23 eV per formula unit. The value obtained for the energy is -5.9072 eV per atom.

=====

## HfP2IrS (GGA-PBE)

Data for a geometry-optimized HfP2IrS structure.

The structure belongs to space group P4/mmm (No. 123); the cell edges are 4.9368, 4.9368 and 4.7243 Å and the angles 90.00°, 90.00° and 90.00°. Symmetry generates all atoms from Hf at (0.0000, 0.0000, 0.0000), P at (0.0000, 0.5000, 0.0000), Ir at (0.5000, 0.5000, 0.5000) and S at (0.0000, 0.0000, 0.5000).

The calculation puts the uncorrected formation energy at 4.80 eV per formula unit. The value obtained for the energy above the most stable polymorph in this dataset is 0.510 eV per atom. The value obtained for the energy is -5.7915 eV per atom.

=====

## U2SiSb (GGA-PBE)

Data for a geometry-optimized U2SiSb structure.

The structure belongs to space group R-3m (No. 166, hexagonal axes); the cell edges are 3.0780, 3.0780 and 31.3729 Å and the angles 90.00°, 90.00° and 120.00°. Symmetry generates all atoms from U at (0.0000, 0.0000, 0.2437), Si at (0.0000, 0.0000, 0.5000) and Sb at (0.0000, 0.0000, 0.0000).

The calculation puts the uncorrected formation energy at 0.33 eV per formula unit. The value obtained for the energy above the most stable polymorph in this dataset is 0.184 eV per atom. The value obtained for the energy is -7.9484 eV per atom.

=====

## DyEr2TmP4 (GGA-PBE)

Data for a geometry-optimized DyEr2TmP4 structure.

The structure belongs to space group P2/m (No. 10); the cell edges are 6.8801, 3.9739 and 6.8803 Å and the angles 90.00°, 109.47° and 90.00°. Symmetry generates all atoms from Dy at (0.0000, 0.0000, 0.0000), Er at (0.0000, 0.5000, 0.5000), Er at (0.5000, 0.0000, 0.5000), Tm at (0.5000, 0.5000, 0.0000), P at (0.2516, 0.0000, 0.7501) and P at (0.2520, 0.5000, 0.2512).

The value obtained for the energy is -6.5911 eV per atom.

=====

## Rb3CdSb (GGA-PBE)

Data for a geometry-optimized Rb3CdSb structure.

The structure belongs to space group Pm-3m (No. 221); the cell edges are 7.1433, 7.1433 and 7.1433 Å and the angles 90.00°, 90.00° and 90.00°. Symmetry generates all atoms from Rb at (0.0000, 0.0000, 0.5000), Cd at (0.5000, 0.5000, 0.5000) and Sb at (0.0000, 0.0000, 0.0000).

The calculation puts the uncorrected formation energy at -0.41 eV per formula unit. The value obtained for the energy above the most stable polymorph in this dataset is 0.117 eV per atom. The value obtained for the energy is -1.6708 eV per atom.

=====

## K3RhO2 (GGA-PBE)

Data for a geometry-optimized K3RhO2 structure.

The structure belongs to space group Ibam (No. 72); the cell edges are 6.1961, 13.8431 and 5.3798 Å and the angles 90.00°, 90.00° and 90.00°. Symmetry generates all atoms from K at (0.0000, 0.0000, 0.2500), K at (0.1876, 0.3124, 0.0000), Rh at (0.0000, 0.5000, 0.2500) and O at (0.2070, 0.3865, 0.5000).

The calculation puts the uncorrected formation energy at -3.04 eV per formula unit. The value obtained for the energy is -3.9329 eV per atom.

=====

## Y2ZnCBr (GGA-PBE)

Data for a geometry-optimized Y2ZnCBr structure.

The structure belongs to space group P4/mmm (No. 123); the cell edges are 4.8174, 4.8174 and 5.1768 Å and the angles 90.00°, 90.00° and 90.00°. Symmetry generates all atoms from Y at (0.0000, 0.5000, 0.0000), Zn at (0.0000, 0.0000, 0.5000), C at (0.5000, 0.5000, 0.0000) and Br at (0.5000, 0.5000, 0.5000).

The calculation puts the uncorrected formation energy at 0.60 eV per formula unit. The value obtained for the energy is -4.9000 eV per atom.

=====

## Pr7Tl5Cd (GGA-PBE)

Data for a geometry-optimized Pr7Tl5Cd structure.

The structure belongs to space group Imm2 (No. 44); the cell edges are 6.8808, 10.8561 and 11.1925 Å and the angles 90.00°, 90.00° and 90.00°. Symmetry generates all atoms from Pr at (0.0000, 0.0000, 0.0000), Pr at (0.0000, 0.0000, 0.3616), Pr at (0.0000, 0.3163, 0.6055), Pr at (0.0000, 0.3239, 0.0888), Pr at (0.0000, 0.5000, 0.3298), Tl at (0.0000, 0.5000, 0.8438), Tl at (0.2396, 0.2377, 0.8499) and Cd at (0.0000, 0.0000, 0.6659).

The value obtained for the energy is -3.7487 eV per atom.

=====

## LiLa2GaRu (GGA-PBE)

Data for a geometry-optimized LiLa2GaRu structure.

The structure belongs to space group P4/mmm (No. 123); the cell edges are 5.4581, 5.4581 and 4.9622 Å and the angles 90.00°, 90.00° and 90.00°. Symmetry generates all atoms from Li at (0.0000, 0.0000, 0.0000), La at (0.0000, 0.5000, 0.5000), Ga at (0.5000, 0.5000, 0.0000) and Ru at (0.5000, 0.5000, 0.5000).

The value obtained for the energy is -5.0419 eV per atom.

=====

## Pm2SmHoTm (GGA-PBE)

Data for a geometry-optimized Pm2SmHoTm structure.

The structure belongs to space group Cmcm (No. 63); the cell edges are 8.4269, 11.5376 and 7.2536 Å and the angles 90.00°, 90.00° and 90.00°. Symmetry generates all atoms from Pm at (0.1938, 0.0000, 0.0000), Sm at (0.0000, 0.2258, 0.2500), Ho at (0.0000, 0.2307, 0.7500) and Tm at (0.0000, 0.4940, 0.2500).

The value obtained for the energy is -4.2578 eV per atom.

=====

## Zr2MoAu (GGA-PBE)

Data for a geometry-optimized Zr2MoAu structure.

The structure belongs to space group P4/mmm (No. 123); the cell edges are 3.4307, 3.4307 and 6.6118 Å and the angles 90.00°, 90.00° and 90.00°. Symmetry generates all atoms from Zr at (0.0000, 0.0000, 0.2358), Mo at (0.5000, 0.5000, 0.0000) and Au at (0.5000, 0.5000, 0.5000).

The value obtained for the energy above the most stable polymorph in this dataset is 0.000 eV per atom. The value obtained for the energy is -8.1433 eV per atom.

=====

> Which value of energy does entry 12 give?

-8.1433 eV per atom

=====

> Which of these has the highest energy?

Rb3CdSb